Record 1
LaPuZnBi, optimized geometry, DFT PBE; space group = F-43m, No. 216; total magnetization = 6.71 μB per formula unit; energy relative to the elements = -317 meV/atom; V = 114 Å³/f.u.
1.0
-2.315 -0.457 -4.906
0.189 -4.741 -2.668
-4.526 -2.963 -0.609
Zn La Bi Pu
1 1 1 1
Direct
0.000 0.000 0.000
0.250 0.250 0.250
0.500 0.500 0.500
0.750 0.750 0.750

---

Record 2
Sr2Cu2Rh, optimized geometry, DFT PBE; space group = P4/mbm, No. 127; total magnetization = 0.00 μB per formula unit; energy relative to the elements = 9 meV/atom; offset from the most stable computed form = 171.1 meV/atom; V = 113 Å³/f.u.
1.0
7.058 0.000 0.000
0.000 7.058 0.000
0.000 0.000 4.541
Sr Rh Cu
4 2 4
Direct
0.187 0.687 0.500
0.687 0.813 0.500
0.813 0.313 0.500
0.313 0.187 0.500
0.000 0.000 0.000
0.500 0.500 0.000
0.375 0.875 0.000
0.875 0.625 0.000
0.625 0.125 0.000
0.125 0.375 0.000

---

Record 3
BaHPt2, optimized geometry, DFT PBE; space group = Fd-3m, No. 227; total magnetization = 0.00 μB per formula unit; offset from the most stable computed form = 0.0 meV/atom; V = 74 Å³/f.u.
1.0
5.927 0.000 0.000
0.000 5.927 0.000
2.963 2.963 4.189
H Ba Pt
2 2 4
Direct
0.500 0.500 0.000
0.250 0.750 0.500
0.000 0.000 0.000
0.750 0.250 0.500
0.375 0.125 0.250
0.375 0.625 0.250
0.375 0.625 0.750
0.875 0.625 0.750